No. 1
Material: CuPPb2
Method: DFT, PBE
State: relaxed

a = 6.732 Å, b = 3.935 Å, c = 7.589 Å
α = 90.00°, β = 107.23°, γ = 90.00°
Space group Cm (No. 8)
Unique sites:
Cu1 0.000 0.000 0.000
P1 0.180 0.500 0.048
Pb1 0.245 0.000 0.724
Pb2 0.445 0.000 0.336

***

No. 2
Material: CuPPb2
Method: DFT, PBE
State: relaxed

a = 4.234 Å, b = 4.234 Å, c = 10.345 Å
α = 90.00°, β = 90.00°, γ = 90.00°
Space group I-4m2 (No. 119)
Unique sites:
Cu1 0.000 0.000 0.000
P1 0.000 0.500 0.750
Pb1 0.000 0.000 0.500
Pb2 0.000 0.500 0.250

***

No. 3
Material: CuPPb2
Method: DFT, PBE
State: relaxed

a = 3.400 Å, b = 3.400 Å, c = 7.974 Å
α = 90.00°, β = 90.00°, γ = 90.00°
Space group P4mm (No. 99)
Unique sites:
Cu1 0.000 0.000 0.000
P1 0.500 0.500 0.064
Pb1 0.000 0.000 0.357
Pb2 0.500 0.500 0.706

***

Computed total DFT energy (no corrections), in the same sequence as the records: -33.29, -30.59, -16.17 eV/cell.
Computed DOS(E_F), in the same sequence as the records: 2.30, 2.22, 1.99 states/eV/f.u..